# PuInRh PBE-GGA relaxed
data_PuInRh
_chemical_formula_sum 'Pu2 In2 Rh2'
_cell_length_a 5.2856
_cell_length_b 4.8685
_cell_length_c 5.5039
_cell_angle_alpha 90.00
_cell_angle_beta 105.21
_cell_angle_gamma 90.00
_space_group_name_H-M_alt 'P 1 21/m 1'
_space_group_IT_number 11
_space_group_name_Hall '-P 2yb'
loop_
_atom_site_label
_atom_site_type_symbol
_atom_site_fract_x
_atom_site_fract_y
_atom_site_fract_z
_atom_site_occupancy
Pu1 Pu 0.0997 0.2500 0.2815 1
In1 In 0.4944 0.2500 0.8490 1
Rh1 Rh 0.3574 0.7500 0.6008 1
# Calculated formation energy in eV/atom: -0.3458
# Calculated volume in Å³/cell: 137

***

# BaPmLu PBE-GGA relaxed
data_BaPmLu
_chemical_formula_sum 'Ba2 Pm2 Lu2'
_cell_length_a 3.8020
_cell_length_b 3.8020
_cell_length_c 16.2287
_cell_angle_alpha 90.00
_cell_angle_beta 90.00
_cell_angle_gamma 90.00
_space_group_name_H-M_alt 'I 4 m m'
_space_group_IT_number 107
_space_group_name_Hall 'I 4 -2'
loop_
_atom_site_label
_atom_site_type_symbol
_atom_site_fract_x
_atom_site_fract_y
_atom_site_fract_z
_atom_site_occupancy
Ba1 Ba 0.0000 0.0000 0.0000 1
Pm1 Pm 0.0000 0.0000 0.3160 1
Lu1 Lu 0.0000 0.0000 0.6804 1
# Calculated formation energy in eV/atom: 0.1873
# Calculated volume in Å³/cell: 235

***

# Fe6Pd8Rh PBE-GGA relaxed
data_Fe6Pd8Rh
_chemical_formula_sum 'Fe6 Pd8 Rh1'
_cell_length_a 9.6956
_cell_length_b 9.6956
_cell_length_c 2.7229
_cell_angle_alpha 90.00
_cell_angle_beta 90.00
_cell_angle_gamma 120.00
_space_group_name_H-M_alt 'P -3'
_space_group_IT_number 147
_space_group_name_Hall '-P 3'
loop_
_atom_site_label
_atom_site_type_symbol
_atom_site_fract_x
_atom_site_fract_y
_atom_site_fract_z
_atom_site_occupancy
Fe1 Fe 0.0898 0.4782 0.2398 1
Pd1 Pd 0.0849 0.7808 0.2798 1
Pd2 Pd 0.3333 0.6667 0.7392 1
Rh1 Rh 0.0000 0.0000 0.0000 1
# Energy above the lowest structure with this stoichiometry in meV/atom: 91.7
# Calculated formation energy in eV/atom: 0.1405
# Calculated volume in Å³/cell: 222

***

# Na2CeNpBr8 PBE-GGA relaxed
data_Na2CeNpBr8
_chemical_formula_sum 'Na2 Ce1 Np1 Br8'
_cell_length_a 6.8576
_cell_length_b 7.1404
_cell_length_c 8.8781
_cell_angle_alpha 90.45
_cell_angle_beta 90.50
_cell_angle_gamma 93.81
_space_group_name_H-M_alt 'P -1'
_space_group_IT_number 2
_space_group_name_Hall '-P 1'
loop_
_atom_site_label
_atom_site_type_symbol
_atom_site_fract_x
_atom_site_fract_y
_atom_site_fract_z
_atom_site_occupancy
Na1 Na 0.0022 0.0015 0.2512 1
Ce1 Ce 0.5000 0.5000 0.0000 1
Np1 Np 0.5000 0.5000 0.5000 1
Br1 Br 0.2299 0.1754 0.0009 1
Br2 Br 0.2331 0.1759 0.5045 1
Br3 Br 0.2800 0.6570 0.7472 1
Br4 Br 0.2825 0.6599 0.2519 1
# Calculated volume in Å³/cell: 434
# Uncorrected formation energy in eV per atom: -1.5515

***

# LaAgSe PBE-GGA relaxed
data_LaAgSe
_chemical_formula_sum 'La4 Ag4 Se4'
_cell_length_a 6.9840
_cell_length_b 6.9840
_cell_length_c 6.9840
_cell_angle_alpha 90.00
_cell_angle_beta 90.00
_cell_angle_gamma 90.00
_space_group_name_H-M_alt 'F -4 3 m'
_space_group_IT_number 216
_space_group_name_Hall 'F -4 2 3'
loop_
_atom_site_label
_atom_site_type_symbol
_atom_site_fract_x
_atom_site_fract_y
_atom_site_fract_z
_atom_site_occupancy
La1 La 0.0000 0.0000 0.0000 1
Ag1 Ag 0.0000 0.0000 0.5000 1
Se1 Se 0.2500 0.2500 0.2500 1
# Energy above the lowest structure with this stoichiometry in meV/atom: 418.2
# Calculated volume in Å³/cell: 341
# Uncorrected formation energy in eV per atom: -0.7058

***

# Tb3ErMg8 PBE-GGA relaxed
data_Tb3ErMg8
_chemical_formula_sum 'Tb9 Er3 Mg24'
_cell_length_a 6.0531
_cell_length_b 6.0531
_cell_length_c 29.4218
_cell_angle_alpha 90.00
_cell_angle_beta 90.00
_cell_angle_gamma 120.00
_space_group_name_H-M_alt 'R 3 m'
_space_group_IT_number 160
_space_group_name_Hall 'R 3 -2"'
loop_
_atom_site_label
_atom_site_type_symbol
_atom_site_fract_x
_atom_site_fract_y
_atom_site_fract_z
_atom_site_occupancy
Tb1 Tb 0.0000 0.0000 0.0000 1
Tb2 Tb 0.0000 0.0000 0.1250 1
Tb3 Tb 0.0000 0.0000 0.5006 1
Er1 Er 0.0000 0.0000 0.6253 1
Mg1 Mg 0.0000 0.0000 0.3128 1
Mg2 Mg 0.0000 0.0000 0.8127 1
Mg3 Mg 0.9996 0.4998 0.0625 1
Mg4 Mg 0.0003 0.5001 0.5629 1
# Calculated formation energy in eV/atom: -0.0715
# Calculated volume in Å³/cell: 934

***

# TmLuRu2 PBE-GGA relaxed
data_TmLuRu2
_chemical_formula_sum 'Tm1 Lu1 Ru2'
_cell_length_a 3.3417
_cell_length_b 3.3417
_cell_length_c 6.6850
_cell_angle_alpha 90.00
_cell_angle_beta 90.00
_cell_angle_gamma 90.00
_space_group_name_H-M_alt 'P 4/m m m'
_space_group_IT_number 123
_space_group_name_Hall '-P 4 2'
loop_
_atom_site_label
_atom_site_type_symbol
_atom_site_fract_x
_atom_site_fract_y
_atom_site_fract_z
_atom_site_occupancy
Tm1 Tm 0.0000 0.0000 0.0000 1
Lu1 Lu 0.0000 0.0000 0.5000 1
Ru1 Ru 0.5000 0.5000 0.2516 1
# Calculated formation energy in eV/atom: -0.4453
# Calculated volume in Å³/cell: 75

***

# HoInPb2Se5 PBE-GGA relaxed
data_HoInPb2Se5
_chemical_formula_sum 'Ho4 In4 Pb8 Se20'
_cell_length_a 4.1486
_cell_length_b 18.7793
_cell_length_c 13.4140
_cell_angle_alpha 90.00
_cell_angle_beta 90.00
_cell_angle_gamma 90.00
_space_group_name_H-M_alt 'C m c 21'
_space_group_IT_number 36
_space_group_name_Hall 'C 2c -2'
loop_
_atom_site_label
_atom_site_type_symbol
_atom_site_fract_x
_atom_site_fract_y
_atom_site_fract_z
_atom_site_occupancy
Ho1 Ho 0.0000 0.2018 0.0000 1
In1 In 0.0000 0.4507 0.4123 1
Pb1 Pb 0.0000 0.1280 0.2979 1
Pb2 Pb 0.0000 0.1381 0.6455 1
Se1 Se 0.0000 0.0448 0.0323 1
Se2 Se 0.0000 0.2934 0.6478 1
Se3 Se 0.0000 0.3141 0.3522 1
Se4 Se 0.0000 0.3521 0.9917 1
Se5 Se 0.0000 0.4799 0.7485 1
# Calculated volume in Å³/cell: 1045
# Uncorrected formation energy in eV per atom: -0.9030

***

Among the records above, which one has the highest calculated volume? HoInPb2Se5

***

calculated volume of number 6 (Tb3ErMg8)? 934 Å³/cell

***

What is the formula in the first record? PuInRh

***

Number 6 is which compound? Tb3ErMg8